Compound: Li2TcAu
Source: the Alexandria database
Functional: GGA-PBEsol
Structure: relaxed

abc: 3.747 3.747 4.992
angles: 112.04 112.04 90.00
Site moments in Bohr magnetons follow the coordinates.
Fractional coordinates of all 4 atoms:
Li1 0.750 0.250 0.500  -0.01
Li2 0.250 0.750 0.500  -0.01
Tc1 0.500 0.500 0.000  1.44
Au1 0.000 0.000 0.000  0.12

## Properties
- Spin magnetization: 1.593 μB/cell
- DOS at the Fermi energy: 3.2 states/eV/cell
- Relative energy among the computed polymorphs: 0.2547 eV per atom
- ΔE_f: 0.33 eV/atom